Record 1
# Rb2AuS2 GGA-PBE relaxed
# Raw total energy: -3.36 eV/atom
data_Rb2AuS2
_chemical_formula_sum 'Rb4 Au2 S4'
_space_group_name_H-M_alt 'C 1 2/m 1'
_space_group_IT_number 12
_space_group_name_Hall '-C 2y'
_cell_length_a 12.067
_cell_length_b 3.882
_cell_length_c 6.774
_cell_angle_alpha 90.00
_cell_angle_beta 104.06
_cell_angle_gamma 90.00
loop_
_atom_site_label
_atom_site_type_symbol
_atom_site_fract_x
_atom_site_fract_y
_atom_site_fract_z
Rb1 Rb 0.161 0.000 0.214
Au1 Au 0.000 0.500 0.500
S1 S 0.106 0.000 0.700

Record 2
# RbAuS GGA-PBE relaxed
# Raw total energy: -3.55 eV/atom
data_RbAuS
_chemical_formula_sum 'Rb4 Au4 S4'
_space_group_name_H-M_alt 'A m m 2'
_space_group_IT_number 38
_space_group_name_Hall 'A 2 -2'
_cell_length_a 6.937
_cell_length_b 6.704
_cell_length_c 8.168
_cell_angle_alpha 90.00
_cell_angle_beta 90.00
_cell_angle_gamma 90.00
loop_
_atom_site_label
_atom_site_type_symbol
_atom_site_fract_x
_atom_site_fract_y
_atom_site_fract_z
Rb1 Rb 0.000 0.000 0.000
Rb2 Rb 0.500 0.000 0.253
Au1 Au 0.250 0.000 0.628
S1 S 0.000 0.000 0.436
S2 S 0.500 0.000 0.820